PuThAgGe, optimized geometry, DFT GGA-PBE; E_form = -0.24 eV per atom; space group = F-43m; total DFT energy (no corrections) = -7.5422 eV/atom
1.0
-0.1562 5.1110 0.9191
-0.7206 1.7483 4.8390
3.9043 2.3035 2.5381
Ge Ag Th Pu
1 1 1 1
Cartesian
0.7569 2.2907 2.0740 Ge
2.2706 6.8721 6.2221 Ag
0.0000 0.0000 0.0000 Th
1.5137 4.5814 4.1481 Pu

---

PaMoAs, optimized geometry, DFT GGA-PBE; E_form = -0.29 eV per atom; space group = I4mm; energy above the lowest structure with this stoichiometry = 0.024 eV/atom; total DFT energy (no corrections) = -8.6150 eV/atom
1.0
-1.4539 2.7543 1.0612
-2.1982 -0.2209 -2.4383
-1.3775 -4.1720 3.8399
Mo Pa As
1 1 1
Cartesian
-0.1491 -0.1352 0.1467 Mo
-2.1761 -1.9734 2.1406 Pa
-2.7045 0.4701 0.1756 As

---

AcSm4Ho2, optimized geometry, DFT GGA-PBE; E_form = 0.24 eV per atom; space group = C2/m; energy above the lowest structure with this stoichiometry = 0.203 eV/atom; total DFT energy (no corrections) = -4.3471 eV/atom
1.0
-3.2429 6.0623 0.5158
-6.8188 0.7649 -0.6727
8.5479 -7.1853 6.3078
Ac Sm Ho
1 4 2
Cartesian
0.0000 0.0000 0.0000 Ac
0.8675 -1.2931 3.1535 Sm
-2.3813 0.9350 2.9975 Sm
-3.4094 0.3825 -0.3363 Sm
-1.6214 3.0312 0.2579 Sm
3.5019 -3.3930 4.5870 Ho
-5.0157 3.0349 1.5640 Ho

---

Ba8Sn2Rh, optimized geometry, DFT GGA-PBE; E_form = -0.31 eV per atom; space group = C2/m; total DFT energy (no corrections) = -3.1091 eV/atom
1.0
5.9971 0.0000 0.0000
0.0000 7.8808 0.0459
-2.9985 -3.3299 10.0603
Ba Sn Rh
8 2 1
Cartesian
0.0000 1.9907 8.2098 Ba
2.9985 6.4015 3.0187 Ba
2.9985 3.7128 5.8397 Ba
2.9985 -1.5584 9.5581 Ba
0.0000 0.8382 4.2664 Ba
0.0000 -1.8506 7.0874 Ba
2.9985 2.5602 1.8963 Ba
0.0000 6.1093 0.5480 Ba
2.9985 0.1790 6.3381 Sn
0.0000 4.3719 3.7681 Sn
2.9985 0.0000 0.0000 Rh

---

SrZnRe2, optimized geometry, DFT GGA-PBE; E_form = 0.78 eV per atom; space group = P4/mmm; total DFT energy (no corrections) = -6.1845 eV/atom
1.0
-0.5002 -0.6869 3.2806
1.0081 -3.1942 -0.5151
6.6143 1.8619 1.3983
Re Sr Zn
2 1 1
Cartesian
6.0500 1.7031 1.2790 Re
3.8714 1.0898 0.8184 Re
1.9075 -1.4750 1.7323 Sr
5.2147 -0.5441 2.4315 Zn

---

CaAlHgBi, optimized geometry, DFT GGA-PBE; E_form = -0.21 eV per atom; space group = F-43m; total DFT energy (no corrections) = -2.6922 eV/atom
1.0
5.3568 0.0000 0.0000
2.6784 4.6392 0.0000
2.6784 1.5464 4.3738
Ca Al Bi Hg
1 1 1 1
Cartesian
8.0352 4.6392 3.2804 Ca
2.6784 1.5464 1.0935 Al
0.0000 0.0000 0.0000 Bi
5.3568 3.0928 2.1869 Hg

---

ZrReP2, optimized geometry, DFT GGA-PBE; E_form = -0.43 eV per atom; space group = P4/mmm; energy above the lowest structure with this stoichiometry = 0.303 eV/atom; total DFT energy (no corrections) = -8.3818 eV/atom
1.0
-3.2136 2.0823 -2.1487
-0.4170 -3.4341 -2.7042
-2.1035 -1.2603 1.9248
P Re Zr
2 1 1
Cartesian
0.0000 0.0000 0.0000 P
-1.8153 -0.6759 -2.4264 P
-2.6586 0.4110 -0.1119 Re
-1.2603 -2.3472 -0.3897 Zr

---

Mg2TeAu2, optimized geometry, DFT GGA-PBE; energy relative to the elements, uncorrected = -0.341 eV/atom; space group = I4/mmm; energy above the lowest structure with this stoichiometry = 0.073 eV/atom; total DFT energy (no corrections) = -2.9184 eV/atom
1.0
-1.8910 3.8018 -0.5198
-2.5678 -0.8232 3.3210
1.8209 4.0178 5.1590
Mg Te Au
2 1 2
Cartesian
-1.1498 4.6545 3.0199 Mg
-1.4882 2.3420 4.9403 Mg
0.0000 0.0000 0.0000 Te
-1.2921 2.0745 2.2703 Au
-1.3459 4.9220 5.6898 Au

---

BaZnCdO3, optimized geometry, DFT GGA-PBE; energy relative to the elements, uncorrected = -1.597 eV/atom; space group = P2_1/m; total DFT energy (no corrections) = -4.7611 eV/atom
1.0
3.5050 0.0000 0.0000
0.0000 7.2847 0.1331
0.0000 -1.7801 7.9390
Ba Zn Cd O
2 2 2 6
Cartesian
0.8762 1.0433 1.7558 Ba
2.6287 4.4614 6.3163 Ba
0.8762 -0.1669 4.8506 Zn
2.6287 5.6715 3.2214 Zn
0.8762 4.4968 1.1180 Cd
2.6287 1.0078 6.9541 Cd
2.6287 6.1395 1.2986 O
0.8762 -0.6349 6.7735 O
0.8762 5.1616 4.0926 O
2.6287 0.3430 3.9794 O
2.6287 2.9680 1.3295 O
0.8762 2.5366 6.7426 O

---

NaCdO2, optimized geometry, DFT GGA-PBE; energy relative to the elements, uncorrected = -0.814 eV/atom; space group = I-42d; total DFT energy (no corrections) = -3.8513 eV/atom
1.0
5.2549 0.0000 0.0000
0.0000 5.2549 0.0000
2.6274 2.6274 5.0331
Na O Cd
2 4 2
Cartesian
2.6274 2.6274 0.0000 Na
2.6274 5.2549 2.5165 Na
4.0783 1.3137 1.2583 O
1.1765 3.9412 1.2583 O
3.9412 3.8040 3.7748 O
6.5686 6.7058 3.7748 O
0.0000 0.0000 0.0000 Cd
5.2549 2.6274 2.5165 Cd

---

Pu2PaGe2Rh2, optimized geometry, DFT GGA-PBE; E_form = -0.60 eV per atom; space group = R-3m; total DFT energy (no corrections) = -9.4728 eV/atom
1.0
-1.0252 -3.2364 2.9107
2.8706 -3.3528 0.7182
4.1430 2.1178 7.2491
Pu Pa Ge Rh
2 1 2 2
Cartesian
2.7672 0.4354 4.8939 Pu
3.2211 -4.9069 5.9842 Pu
0.0000 0.0000 0.0000 Pa
4.6136 -3.2040 8.3680 Ge
1.3748 -1.2674 2.5101 Ge
1.8959 -3.5788 3.5588 Rh
4.0925 -0.8926 7.3193 Rh

---

Hg3Se2Cl2, optimized geometry, DFT GGA-PBE; energy relative to the elements, uncorrected = -0.368 eV/atom; space group = P2_1/c; energy above the lowest structure with this stoichiometry = 0.064 eV/atom; total DFT energy (no corrections) = -2.0205 eV/atom
1.0
7.0088 0.0000 -2.6464
0.0000 7.0917 0.0000
-0.6324 0.0000 9.2953
Hg Se Cl
6 4 4
Cartesian
3.1882 3.5458 3.3244 Hg
0.0000 0.0000 0.0000 Hg
4.3068 6.6627 0.6558 Hg
5.8901 3.1168 0.0222 Hg
0.4862 3.9748 6.6267 Hg
2.0695 0.4290 5.9931 Hg
5.1168 4.6628 2.0279 Se
5.0802 1.1170 -1.3498 Se
1.2962 5.9747 7.9987 Se
1.2596 2.4289 4.6210 Se
2.5038 1.2792 1.3930 Cl
5.6920 2.2666 4.7174 Cl
0.6844 4.8251 1.9315 Cl
3.8726 5.8124 5.2559 Cl